An optimized crystal structure of NbSi23, computed with PBE-GGA.

## Properties
- raw formation energy (eV per atom) = 0.191
- DOS(E_F) (states/eV per cell) = 12.47
- V (Å³/atom) = 22.1

abc: 10.1968 10.1968 10.1968
angles: 90.00 90.00 90.00
Closest atoms and distances in Å follow each position.
Atoms (fractional coordinates):
Nb  0.0000  0.0000  0.0000  20 Si 3.21-3.36
Nb  0.5000  0.5000  0.5000  20 Si 3.21-3.36
Si  0.2500  0.0000  0.5000  4 Si 2.39
Si  0.7500  0.0000  0.5000  4 Si 2.39
Si  0.0000  0.5000  0.2500  4 Si 2.39
Si  0.0000  0.5000  0.7500  4 Si 2.39
Si  0.5000  0.2500  0.0000  4 Si 2.39
Si  0.5000  0.7500  0.0000  4 Si 2.39
Si  0.6817  0.6817  0.6817  4 Si 2.35-2.41
Si  0.6817  0.3183  0.3183  4 Si 2.35-2.41
Si  0.3183  0.6817  0.3183  4 Si 2.35-2.41
Si  0.3183  0.3183  0.6817  4 Si 2.35-2.41
Si  0.8183  0.8183  0.8183  4 Si 2.35-2.41
Si  0.8183  0.1817  0.1817  4 Si 2.35-2.41
Si  0.1817  0.8183  0.1817  4 Si 2.35-2.41
Si  0.1817  0.1817  0.8183  4 Si 2.35-2.41
Si  0.3183  0.3183  0.3183  4 Si 2.35-2.41
Si  0.3183  0.6817  0.6817  4 Si 2.35-2.41
Si  0.6817  0.3183  0.6817  4 Si 2.35-2.41
Si  0.6817  0.6817  0.3183  4 Si 2.35-2.41
Si  0.1817  0.1817  0.1817  4 Si 2.35-2.41
Si  0.1817  0.8183  0.8183  4 Si 2.35-2.41
Si  0.8183  0.1817  0.8183  4 Si 2.35-2.41
Si  0.8183  0.8183  0.1817  4 Si 2.35-2.41
Si  0.0000  0.6919  0.8838  4 Si 2.35-2.39
Si  0.0000  0.3081  0.1162  4 Si 2.35-2.39
Si  0.0000  0.6919  0.1162  4 Si 2.35-2.39
Si  0.0000  0.3081  0.8838  4 Si 2.35-2.39
Si  0.6919  0.8838  0.0000  4 Si 2.35-2.39
Si  0.6919  0.1162  0.0000  4 Si 2.35-2.39
Si  0.3081  0.8838  0.0000  4 Si 2.35-2.39
Si  0.3081  0.1162  0.0000  4 Si 2.35-2.39
Si  0.8838  0.0000  0.6919  4 Si 2.35-2.39
Si  0.8838  0.0000  0.3081  4 Si 2.35-2.39
Si  0.1162  0.0000  0.3081  4 Si 2.35-2.39
Si  0.1162  0.0000  0.6919  4 Si 2.35-2.39
Si  0.8081  0.5000  0.6162  4 Si 2.35-2.39
Si  0.8081  0.5000  0.3838  4 Si 2.35-2.39
Si  0.1919  0.5000  0.3838  4 Si 2.35-2.39
Si  0.1919  0.5000  0.6162  4 Si 2.35-2.39
Si  0.5000  0.6162  0.8081  4 Si 2.35-2.39
Si  0.5000  0.3838  0.1919  4 Si 2.35-2.39
Si  0.5000  0.6162  0.1919  4 Si 2.35-2.39
Si  0.5000  0.3838  0.8081  4 Si 2.35-2.39
Si  0.6162  0.8081  0.5000  4 Si 2.35-2.39
Si  0.6162  0.1919  0.5000  4 Si 2.35-2.39
Si  0.3838  0.8081  0.5000  4 Si 2.35-2.39
Si  0.3838  0.1919  0.5000  4 Si 2.35-2.39